Here is an optimized crystal structure of PmDy2Er8 from the Alexandria database. Energies are from PBE.

Summary:
The calculation puts the energy at -4.49 eV/atom. The calculation puts the calculated formation energy at 0.102 eV/atom.

Cell lengths 5.402, 8.293, 9.037 Å; angles 115.12, 107.39, 90.00 degrees
Fractional positions:
Pm: 0.500 0.000 0.000
Dy: 0.798 0.341 0.597
Dy: 0.202 0.659 0.403
Er: 0.382 0.557 0.764
Er: 0.666 0.893 0.333
Er: 0.841 0.803 0.681
Er: 0.982 0.277 0.963
Er: 0.159 0.197 0.319
Er: 0.334 0.107 0.667
Er: 0.618 0.443 0.236
Er: 0.018 0.723 0.037

Here is an optimized crystal structure of CrTc4 from the Alexandria database. Energies are from PBE.

Summary:
The calculation puts the energy at -8.90 eV/atom. For the relative energy among the computed polymorphs, the calculation gives 1.188 eV/atom. The calculation puts the calculated formation energy at 1.320 eV/atom.

Cell lengths 4.362, 4.362, 4.362 Å; angles 90.00, 90.00, 90.00 degrees
Site moments in Bohr magnetons follow the coordinates.
Fractional positions:
Cr: 0.500 0.500 0.500  0.17
Tc: 0.000 0.000 0.000  1.44
Tc: 0.500 0.000 0.500  -0.16
Tc: 0.000 0.500 0.500  -0.16
Tc: 0.500 0.500 0.000  -0.16

Here is an optimized crystal structure of Sm5Ho6Mg from the Alexandria database. Energies are from PBE.

Summary:
The calculation puts the energy at -4.36 eV/atom. The calculation puts the calculated formation energy at 0.024 eV/atom.

Cell lengths 5.026, 10.048, 9.372 Å; angles 122.42, 105.55, 90.00 degrees
Fractional positions:
Mg: 0.000 0.000 0.000
Ho: 0.834 0.586 0.667
Ho: 0.834 0.081 0.667
Ho: 0.500 0.751 0.000
Ho: 0.500 0.249 0.000
Ho: 0.166 0.919 0.333
Ho: 0.166 0.414 0.333
Sm: 0.667 0.167 0.335
Sm: 0.334 0.334 0.669
Sm: 0.000 0.500 0.000
Sm: 0.666 0.666 0.331
Sm: 0.333 0.833 0.665

Here is an optimized crystal structure of LiNpAl2 from the Alexandria database. Energies are from PBE.

Summary:
The calculation puts the energy at -5.49 eV/atom. For the relative energy among the computed polymorphs, the calculation gives 0.135 eV/atom. The calculation puts the calculated formation energy at 0.093 eV/atom.

Cell lengths 2.569, 5.311, 5.311 Å; angles 90.00, 90.00, 90.00 degrees
Site moments in Bohr magnetons follow the coordinates.
Fractional positions:
Np: 0.500 0.000 0.000  0.20
Al: 0.000 0.000 0.500  0.00
Al: 0.000 0.500 0.000  0.00
Li: 0.500 0.500 0.500  0.00

Here is an optimized crystal structure of Cl from the Alexandria database. Energies are from PBE.

Summary:
The calculation puts the energy at -1.16 eV/atom. For the relative energy among the computed polymorphs, the calculation gives 0.685 eV/atom. The uncorrected formation energy is 0.685 eV/atom.

Cell lengths 2.862, 2.862, 2.862 Å; angles 90.00, 90.00, 90.00 degrees
Fractional positions:
Cl: 0.500 0.500 0.500

Here is an optimized crystal structure of LiPmSm2Te4 from the Alexandria database. Energies are from PBE.

Summary:
The calculation puts the energy at -4.95 eV/atom. The uncorrected formation energy is -1.364 eV/atom.

Cell lengths 4.404, 7.669, 7.666 Å; angles 109.25, 90.00, 90.00 degrees
Fractional positions:
Li: 0.500 0.500 0.000
Pm: 0.000 0.000 0.000
Sm: 0.500 0.000 0.500
Sm: 0.000 0.500 0.500
Te: 0.500 0.257 0.245
Te: 0.500 0.743 0.755
Te: 0.000 0.260 0.759
Te: 0.000 0.740 0.241

Here is an optimized crystal structure of Tm6InSe3 from the Alexandria database. Energies are from PBE.

Summary:
The calculation puts the energy at -5.02 eV/atom. The uncorrected formation energy is -1.020 eV/atom.

Cell lengths 3.849, 11.738, 11.973 Å; angles 106.91, 90.00, 90.00 degrees
Site moments in Bohr magnetons follow the coordinates.
Fractional positions:
Tm: 0.750 0.500 0.648  -0.02
Tm: 0.250 0.500 0.352  -0.02
Tm: 0.750 0.918 0.094  0.02
Tm: 0.250 0.082 0.906  0.02
Tm: 0.750 0.383 0.079  0.02
Tm: 0.250 0.617 0.921  0.02
Tm: 0.750 0.725 0.267  0.05
Tm: 0.250 0.275 0.733  0.05
Tm: 0.750 0.135 0.475  0.14
Tm: 0.250 0.865 0.525  0.14
Tm: 0.750 0.797 0.747  0.14
Tm: 0.250 0.203 0.253  0.14
In: 0.750 0.049 0.695  0.00
In: 0.250 0.951 0.305  0.00
Se: 0.750 0.433 0.859  0.00
Se: 0.250 0.567 0.141  0.00
Se: 0.750 0.664 0.495  0.00
Se: 0.250 0.336 0.505  0.00
Se: 0.750 0.146 0.078  0.00
Se: 0.250 0.854 0.922  0.00

Here is an optimized crystal structure of PmScTe2Se from the Alexandria database. Energies are from PBE.

Summary:
The calculation puts the energy at -5.49 eV/atom. The uncorrected formation energy is -1.320 eV/atom.

Cell lengths 4.265, 4.265, 15.296 Å; angles 90.00, 90.00, 90.00 degrees
Fractional positions:
Pm: 0.500 0.000 0.637
Pm: 0.000 0.500 0.363
Sc: 0.500 0.000 0.087
Sc: 0.000 0.500 0.913
Te: 0.000 0.500 0.719
Te: 0.000 0.500 0.104
Te: 0.500 0.000 0.896
Te: 0.500 0.000 0.281
Se: 0.000 0.000 0.500
Se: 0.500 0.500 0.500

Here is an optimized crystal structure of Ir5RuPt2 from the Alexandria database. Energies are from PBE.

Summary:
The calculation puts the energy at -8.20 eV/atom. The calculation puts the calculated formation energy at 0.004 eV/atom.

Cell lengths 3.879, 3.879, 8.297 Å; angles 103.52, 103.52, 90.00 degrees
Fractional positions:
Ir: 0.500 0.500 0.000
Ir: 0.380 0.880 0.760
Ir: 0.880 0.380 0.760
Ir: 0.620 0.120 0.240
Ir: 0.120 0.620 0.240
Ru: 0.000 0.000 0.000
Pt: 0.749 0.749 0.498
Pt: 0.251 0.251 0.502

Here is an optimized crystal structure of BeSnRu3 from the Alexandria database. Energies are from PBE.

Summary:
The calculation puts the energy at -6.82 eV/atom. For the relative energy among the computed polymorphs, the calculation gives 0.000 eV/atom. The calculation puts the calculated formation energy at 0.294 eV/atom.

Cell lengths 4.208, 4.208, 4.208 Å; angles 90.00, 90.00, 90.00 degrees
Site moments in Bohr magnetons follow the coordinates.
Fractional positions:
Ru: 0.000 0.500 0.000  0.46
Ru: 0.000 0.000 0.500  0.56
Ru: 0.500 0.000 0.000  0.35
Sn: 0.500 0.500 0.500  0.00
Be: 0.000 0.000 0.000  -0.01

Here is an optimized crystal structure of HfTaCdRh2 from the Alexandria database. Energies are from PBE.

Summary:
The calculation puts the energy at -6.64 eV/atom. The calculation puts the calculated formation energy at 0.841 eV/atom.

Cell lengths 4.734, 5.141, 4.734 Å; angles 90.00, 90.00, 90.00 degrees
Fractional positions:
Rh: 0.000 0.000 0.500
Rh: 0.500 0.000 0.000
Cd: 0.500 0.500 0.500
Hf: 0.000 0.500 0.000
Ta: 0.000 0.000 0.000

Here is an optimized crystal structure of AcPmSmGe from the Alexandria database. Energies are from PBE.

Summary:
The calculation puts the energy at -4.59 eV/atom. The calculation puts the calculated formation energy at -0.039 eV/atom.

Cell lengths 5.506, 5.506, 5.506 Å; angles 60.00, 60.00, 60.00 degrees
Fractional positions:
Ac: 0.000 0.000 0.000
Ge: 0.500 0.500 0.500
Sm: 0.250 0.250 0.250
Pm: 0.750 0.750 0.750

Here is an optimized crystal structure of Pr6NdDy5 from the Alexandria database. Energies are from PBE.

Summary:
The calculation puts the energy at -4.69 eV/atom. The calculation puts the calculated formation energy at 0.016 eV/atom.

Cell lengths 5.176, 10.212, 9.624 Å; angles 122.04, 105.59, 90.00 degrees
Fractional positions:
Pr: 0.833 0.582 0.666
Pr: 0.833 0.084 0.666
Pr: 0.500 0.748 0.000
Pr: 0.500 0.252 0.000
Pr: 0.167 0.916 0.334
Pr: 0.167 0.418 0.334
Nd: 0.000 0.000 0.000
Dy: 0.667 0.167 0.335
Dy: 0.333 0.333 0.666
Dy: 0.000 0.500 0.000
Dy: 0.667 0.667 0.334
Dy: 0.333 0.833 0.665

Here is an optimized crystal structure of TeMoP from the Alexandria database. Energies are from PBE.

Summary:
The calculation puts the energy at -6.16 eV/atom. For the relative energy among the computed polymorphs, the calculation gives 0.452 eV/atom. The uncorrected formation energy is 0.300 eV/atom.

Cell lengths 7.458, 7.216, 3.108 Å; angles 82.18, 73.44, 24.38 degrees
Fractional positions:
Te: 0.354 0.354 0.646
Mo: 0.017 0.017 0.983
P: 0.629 0.629 0.371

Here is an optimized crystal structure of ThPaTi4 from the Alexandria database. Energies are from PBE.

Summary:
The calculation puts the energy at -7.92 eV/atom. The calculation puts the calculated formation energy at 0.160 eV/atom.

Cell lengths 5.598, 5.598, 5.598 Å; angles 60.00, 60.00, 60.00 degrees
Fractional positions:
Pa: 0.000 0.000 0.000
Th: 0.250 0.250 0.250
Ti: 0.627 0.627 0.120
Ti: 0.627 0.120 0.627
Ti: 0.627 0.627 0.627
Ti: 0.120 0.627 0.627

Here is an optimized crystal structure of ReMo2Rh from the Alexandria database. Energies are from PBE.

Summary:
The calculation puts the energy at -10.29 eV/atom. For the relative energy among the computed polymorphs, the calculation gives 0.082 eV/atom. The calculation puts the calculated formation energy at 0.078 eV/atom.

Cell lengths 2.718, 2.718, 8.284 Å; angles 90.00, 90.00, 90.00 degrees
Fractional positions:
Mo: 0.000 0.000 0.989
Mo: 0.500 0.500 0.255
Re: 0.000 0.000 0.512
Rh: 0.500 0.500 0.744

Here is an optimized crystal structure of RbNa2Ag2Sb2 from the Alexandria database. Energies are from PBE.

Summary:
The calculation puts the energy at -2.82 eV/atom. The uncorrected formation energy is -0.310 eV/atom.

Cell lengths 4.830, 4.830, 10.909 Å; angles 77.21, 77.21, 60.00 degrees
Fractional positions:
Rb: 0.000 0.000 0.000
Na: 0.139 0.139 0.582
Na: 0.861 0.861 0.418
Ag: 0.576 0.576 0.271
Ag: 0.424 0.424 0.729
Sb: 0.754 0.754 0.738
Sb: 0.246 0.246 0.262

Here is an optimized crystal structure of HfMgTiCd from the Alexandria database. Energies are from PBE.

Summary:
The calculation puts the energy at -5.12 eV/atom. The calculation puts the calculated formation energy at -0.033 eV/atom.

Cell lengths 2.993, 2.993, 9.251 Å; angles 90.00, 90.00, 90.00 degrees
Fractional positions:
Hf: 0.500 0.500 0.338
Mg: 0.500 0.500 0.818
Ti: 0.000 0.000 0.558
Cd: 0.000 0.000 0.071

Here is an optimized crystal structure of TlCuAs from the Alexandria database. Energies are from PBE.

Summary:
The calculation puts the energy at -3.65 eV/atom. For the relative energy among the computed polymorphs, the calculation gives 0.059 eV/atom. The calculation puts the calculated formation energy at 0.059 eV/atom.

Cell lengths 5.265, 3.781, 7.094 Å; angles 73.66, 90.00, 89.99 degrees
Fractional positions:
Tl: 0.183 0.072 0.647
Tl: 0.683 0.721 0.422
As: 0.683 0.967 0.899
As: 0.183 0.823 0.171
Cu: 0.933 0.395 0.035
Cu: 0.433 0.395 0.035

Here is an optimized crystal structure of CsZr2Ni from the Alexandria database. Energies are from PBE.

Summary:
The calculation puts the energy at -4.94 eV/atom. For the relative energy among the computed polymorphs, the calculation gives 0.000 eV/atom. The calculation puts the calculated formation energy at 0.996 eV/atom.

Cell lengths 4.958, 4.958, 4.958 Å; angles 60.00, 60.00, 60.00 degrees
Fractional positions:
Cs: 0.500 0.500 0.500
Ni: 0.000 0.000 0.000
Zr: 0.250 0.250 0.250
Zr: 0.750 0.750 0.750

For each record above, in turn, the calculated DOS at the Fermi energy values are 18.22 6.62 17.11 4.24 1.74 3.28 6.63 2.21 7.56 5.53 5.04 5.82 16.32 3.31 13.70 5.00 6.37 2.39 1.36 8.42 states/eV/f.u..